# SrBi3I3O4

A relaxed structure of SrBi3I3O4 (GGA-PBE, Alexandria via LeMat-Bulk).

The energy relative to the elements, uncorrected comes out at -1.314 eV/atom. As for the density of states at the Fermi level: 1.611 states/eV/f.u. The magnetic moment is 0.00 μB per formula unit.

a b c (Å): 17.0770 17.0770 17.0770
angles (deg): 166.32 166.32 19.39
Positions (direct):
I 0.8037 0.8037 0.0000
I 0.2047 0.2047 0.0000
I 0.4869 0.4869 0.0000
Bi 0.3561 0.3561 0.0000
Bi 0.9285 0.9285 0.0000
Bi 0.0762 0.0762 0.0000
O 0.3939 0.8939 0.5000
O 0.8939 0.3939 0.5000
O 0.6041 0.1041 0.5000
O 0.1041 0.6041 0.5000
Sr 0.6479 0.6479 0.0000